Density functional theory data (GGA-PBE) for crystalline K2YAl at its relaxed geometry.

Cell lengths 7.947, 7.947, 7.947 Å; angles 153.42, 130.18, 57.35 degrees
Element x y z (fractional)
1 K 0.000 0.000 0.000
2 K 0.698 0.198 0.500
3 Y 0.314 0.814 0.500
4 Al 0.477 0.477 0.000

Output
- Fermi-level density of states (states/eV/cell) = 3.6
- symmetry = Imm2 (44)
- DFT total energy (Ry per atom) = -0.1993